This record from Alexandria via LeMat-Bulk describes Sb2RhW after structural relaxation. The functional is GGA-PBE.

Summary:
Density, g/cm3: 11.38
Crystal system: cubic
Excess energy over the best structure of this formula in the dataset, eV per atom: 0.6005
Size of the total moment, μB/atom: 0.000

Cell: 6.763 6.763 6.763 Å, 90.00 90.00 90.00°
Space group F-43m (No. 216)
Unique sites:
Sb1 0.000 0.000 0.000 (multiplicity 4)
Sb2 0.250 0.250 0.250 (multiplicity 4)
Rh1 0.000 0.000 0.500 (multiplicity 4)
W1 0.250 0.250 0.750 (multiplicity 4)